Entry 1:
Entry from the Alexandria database: AlZnCr4 after structural relaxation (PBE-GGA).

Results
The calculation puts the total energy at -42.03 eV for the cell shown. As for the space-group type: F-43m (216). The calculation puts the calculated volume at 12.99 Å³ per atom.

Cell: 4.794 4.794 4.794 Å, 60.00 60.00 60.00°
Positions (direct):
1 Cr 0.376 0.376 0.872
2 Cr 0.872 0.376 0.376
3 Cr 0.376 0.376 0.376
4 Cr 0.376 0.872 0.376
5 Al 0.000 0.000 0.000
6 Zn 0.750 0.750 0.750

=====

Entry 2:
Entry from the Alexandria database: AlZnCr2 after structural relaxation (PBE-GGA).

Results
The calculation puts the total energy at -24.10 eV for the cell shown. As for the space-group type: Pm (6). The calculation puts the calculated volume at 12.90 Å³ per atom.

Cell: 4.151 2.584 4.841 Å, 83.74 90.00 90.00°
Positions (direct):
1 Al 0.500 0.684 0.764
2 Zn 0.000 0.567 0.487
3 Cr 0.000 0.051 0.008
4 Cr 0.500 0.198 0.241